# 1
## Fe2RePt (GGA-PBEsol)

Data for Fe2RePt after structural relaxation.

a = 2.6678 Å, b = 2.6678 Å, c = 25.4877 Å
α = 90.00°, β = 90.00°, γ = 120.00°
Space group R-3m (No. 166, hexagonal axes)
One atom of each set of equivalent atoms:
Fe 0.0000 0.0000 0.2488
Re 0.0000 0.0000 0.5000
Pt 0.0000 0.0000 0.0000

Results
ΔE_f   0.07 eV/atom

# 2
## Ir2AuBr (GGA-PBEsol)

Data for Ir2AuBr after structural relaxation.

a = 2.8699 Å, b = 2.8699 Å, c = 8.3301 Å
α = 90.00°, β = 90.00°, γ = 90.00°
Space group P4mm (No. 99)
One atom of each set of equivalent atoms:
Ir 0.0000 0.0000 0.0000
Ir 0.5000 0.5000 0.1996
Au 0.0000 0.0000 0.4359
Br 0.5000 0.5000 0.7649

Results
Energy relative to the lowest polymorph listed for this composition   0.0 meV/atom
Formation energy without anion corrections   583 meV per atom